# 1
Below is crystalline Cs2BaHg2 at its relaxed geometry, with properties calculated at the GGA-PBE level.

Results
- calculated formation energy (kJ/mol of formula units) = -92
- total DFT energy (no corrections) (eV/atom) = -1.04
- D(E_F) (states/eV/f.u.) = 3.0
- M_tot (μB/f.u.) = 0.00

Unit cell a=9.1664 b=9.1664 c=6.2006 alpha=90.00 beta=90.00 gamma=90.00
Space group P4/mbm (No. 127)
Inequivalent atoms, fractional coordinates:
Cs  0.1692  0.3308  0.0000 [4 per cell]
Ba  0.0000  0.0000  0.5000 [2 per cell]
Hg  0.1221  0.6221  0.5000 [4 per cell]

---

# 2
Below is crystalline CsBaHg3 at its relaxed geometry, with properties calculated at the GGA-PBE level.

Results
- calculated formation energy (kJ/mol of formula units) = -44
- total DFT energy (no corrections) (eV/atom) = -0.83
- D(E_F) (states/eV/f.u.) = 5.4
- M_tot (μB/f.u.) = 0.00

Unit cell a=6.5696 b=6.5696 c=6.5696 alpha=90.00 beta=90.00 gamma=90.00
Space group Pm-3m (No. 221)
Inequivalent atoms, fractional coordinates:
Cs  0.0000  0.0000  0.0000 [1 per cell]
Ba  0.5000  0.5000  0.5000 [1 per cell]
Hg  0.0000  0.5000  0.5000 [3 per cell]

---

# 3
Below is crystalline Cs2BaHg4 at its relaxed geometry, with properties calculated at the GGA-PBE level.

Results
- calculated formation energy (kJ/mol of formula units) = -94
- total DFT energy (no corrections) (eV/atom) = -0.83
- D(E_F) (states/eV/f.u.) = 6.6
- M_tot (μB/f.u.) = 0.00

Unit cell a=6.4860 b=6.4860 c=19.6520 alpha=90.00 beta=90.00 gamma=90.00
Space group I4/mmm (No. 139)
Inequivalent atoms, fractional coordinates:
Cs  0.0000  0.0000  0.1277 [4 per cell]
Ba  0.0000  0.0000  0.5000 [2 per cell]
Hg  0.0000  0.0000  0.3273 [4 per cell]
Hg  0.0000  0.5000  0.0000 [4 per cell]

---

# 4
Below is crystalline CsBa2Hg8 at its relaxed geometry, with properties calculated at the GGA-PBE level.

Results
- calculated formation energy (kJ/mol of formula units) = -377
- total DFT energy (no corrections) (eV/atom) = -1.00
- D(E_F) (states/eV/f.u.) = 6.9
- M_tot (μB/f.u.) = 0.00

Unit cell a=8.9004 b=17.7132 c=5.7651 alpha=90.00 beta=124.14 gamma=90.00
Space group C2/m (No. 12)
Inequivalent atoms, fractional coordinates:
Cs  0.0000  0.0000  0.0000 [2 per cell]
Ba  0.0000  0.3207  0.5000 [4 per cell]
Hg  0.0000  0.2080  0.0000 [4 per cell]
Hg  0.0769  0.5000  0.2990 [4 per cell]
Hg  0.2157  0.1426  0.7350 [8 per cell]

---

# 5
Below is crystalline CsBaHg3 at its relaxed geometry, with properties calculated at the GGA-PBE level.

Results
- calculated formation energy (kJ/mol of formula units) = -172
- total DFT energy (no corrections) (eV/atom) = -1.09
- D(E_F) (states/eV/f.u.) = 3.3
- M_tot (μB/f.u.) = 0.00

Unit cell a=4.6532 b=33.8463 c=5.1273 alpha=90.00 beta=90.00 gamma=90.00
Space group Cmcm (No. 63)
Inequivalent atoms, fractional coordinates:
Cs  0.0000  0.2035  0.2500 [4 per cell]
Ba  0.0000  0.0642  0.7500 [4 per cell]
Hg  0.0000  0.3406  0.2500 [4 per cell]
Hg  0.0000  0.3889  0.7500 [4 per cell]
Hg  0.0000  0.4779  0.7500 [4 per cell]

---

# 6
Below is crystalline CsBa2Hg at its relaxed geometry, with properties calculated at the GGA-PBE level.

Results
- calculated formation energy (kJ/mol of formula units) = -49
- total DFT energy (no corrections) (eV/atom) = -1.38
- D(E_F) (states/eV/f.u.) = 4.6
- M_tot (μB/f.u.) = 0.14

Unit cell a=4.9836 b=4.9836 c=40.2920 alpha=90.00 beta=90.00 gamma=120.00
Space group R-3m (No. 166, hexagonal axes)
Inequivalent atoms, fractional coordinates:
Cs  0.0000  0.0000  0.0000 [3 per cell]
Ba  0.0000  0.0000  0.1197 [6 per cell]
Hg  0.0000  0.0000  0.5000 [3 per cell]

---

# 7
Below is crystalline Cs2BaHg2 at its relaxed geometry, with properties calculated at the GGA-PBE level.

Results
- calculated formation energy (kJ/mol of formula units) = -41
- total DFT energy (no corrections) (eV/atom) = -0.93
- D(E_F) (states/eV/f.u.) = 4.5
- M_tot (μB/f.u.) = 0.00

Unit cell a=5.5282 b=5.5282 c=16.6609 alpha=90.00 beta=90.00 gamma=90.00
Space group I4/mmm (No. 139)
Inequivalent atoms, fractional coordinates:
Cs  0.0000  0.5000  0.2500 [4 per cell]
Ba  0.0000  0.0000  0.0000 [2 per cell]
Hg  0.0000  0.0000  0.4118 [4 per cell]

---

# 8
Below is crystalline CsBa2Hg at its relaxed geometry, with properties calculated at the GGA-PBE level.

Results
- calculated formation energy (kJ/mol of formula units) = -83
- total DFT energy (no corrections) (eV/atom) = -1.46
- D(E_F) (states/eV/f.u.) = 4.2
- M_tot (μB/f.u.) = 0.23

Unit cell a=4.3401 b=4.3401 c=12.0195 alpha=90.00 beta=90.00 gamma=90.00
Space group P4/mmm (No. 123)
Inequivalent atoms, fractional coordinates:
Cs  0.0000  0.0000  0.0000 [1 per cell]
Ba  0.5000  0.5000  0.3374 [2 per cell]
Hg  0.0000  0.0000  0.5000 [1 per cell]